1.
First-principles (GGA-PBE) data for an optimized crystal structure of TiNbO4, as listed in the Alexandria database.

Structure (extended XYZ):
```
18
Lattice="5.6581 -0.0057 0.0054 1.5790 5.4333 0.0054 2.4245 1.8183 6.7471" Properties=species:S:1:pos:R:3 pbc="T T T"
Nb 8.4491 6.3366 3.4243
O 2.4340 1.8254 4.7833
Nb 6.8304 5.1226 5.6220
O 7.2332 5.4247 2.0308
Ti 3.9992 2.9993 4.5453
O 4.0267 3.0199 6.5150
O 5.6683 4.2511 0.1954
O 5.6260 4.2194 4.2550
O 4.4285 1.6123 0.0470
Nb 5.5687 4.1764 2.2050
O 6.8887 2.6021 2.2396
O 4.0057 3.0042 2.5043
O 2.7880 3.7998 0.0470
O 4.4270 5.8844 2.2396
O 2.8361 4.6026 4.4680
O 5.2127 1.4338 4.4680
Ti 2.8275 2.1205 1.0748
Ti 0.0680 0.0510 0.0357
```

The space group is Cm. Its volume is 207.4 Å³/cell. The formation energy from raw total energies is -2710 meV/atom. The uncorrected energy is -9.0099 eV per atom.

***

2.
First-principles (GGA-PBE) data for an optimized crystal structure of TiNbO4, as listed in the Alexandria database.

Structure (extended XYZ):
```
6
Lattice="-2.2478 4.2068 -0.5660 -4.1927 -2.3373 0.1684 -0.0796 0.3567 2.9672" Properties=species:S:1:pos:R:3 pbc="T T T"
O -4.4763 1.2993 -0.2763
O -3.8288 -0.8005 1.4996
O -1.9642 0.5702 -0.1213
O -2.6914 3.0267 1.0701
Nb 0.0000 0.0000 0.0000
Ti -3.2601 1.1131 1.2848
```

The space group is Cmmm. Its volume is 69.0 Å³/cell. The formation energy from raw total energies is -2716 meV/atom. The uncorrected energy is -9.0154 eV per atom.

***

3.
First-principles (GGA-PBE) data for an optimized crystal structure of Ti2NbO, as listed in the Alexandria database.

Structure (extended XYZ):
```
4
Lattice="-2.4129 -0.5106 -1.6064 -0.5596 -2.7135 -0.9934 -4.8287 -2.5674 5.3725" Properties=species:S:1:pos:R:3 pbc="T T T"
Ti -4.1631 -2.3085 4.2904
Ti -1.6588 -1.3345 0.2194
Nb -3.9151 -2.9014 1.4100
O -6.7933 -4.7102 3.6117
```

The space group is R3m. Its volume is 56.1 Å³/cell. The formation energy from raw total energies is -1211 meV/atom. The uncorrected energy is -8.9154 eV per atom.

***

4.
First-principles (GGA-PBE) data for an optimized crystal structure of TiNbTlO5, as listed in the Alexandria database.

Structure (extended XYZ):
```
32
Lattice="3.8319 0.0000 0.0000 0.0000 6.5390 0.0000 0.0000 0.0000 19.3336" Properties=species:S:1:pos:R:3 pbc="T T T"
O 0.9580 4.1985 0.1917
O 2.8740 4.2957 5.8541
Ti 2.8740 4.4228 0.6446
O 2.8740 2.8064 8.3121
O 2.8740 5.6100 9.8585
Tl 2.8740 1.6202 15.5567
O 0.9580 6.3444 11.9246
O 2.8740 2.3405 19.1418
O 0.9580 0.9290 9.4750
Nb 2.8740 1.4372 2.0499
O 0.9580 3.0749 17.0758
Ti 0.9580 2.1162 18.6890
Nb 0.9580 5.1018 17.2837
O 2.8740 4.9956 17.8676
Nb 0.9580 1.8323 11.7167
O 0.9580 5.5128 15.5209
Tl 0.9580 4.9188 3.7768
O 0.9580 3.7325 11.0215
O 0.9580 4.8129 8.2008
O 0.9580 2.2433 13.4795
O 2.8740 3.4641 2.2578
Ti 2.8740 1.1533 9.0222
O 2.8740 1.0262 3.8127
O 2.8740 1.7261 11.1328
O 0.9580 1.5434 1.4660
Nb 2.8740 4.7067 7.6169
O 2.8740 6.0759 1.3547
O 2.8740 0.1946 7.4090
Ti 0.9580 5.3857 10.3113
O 0.9580 0.4631 17.9789
Tl 0.9580 1.6493 5.8900
Tl 2.8740 4.8896 13.4436
```

The space group is Pnma. Its volume is 484.4 Å³/cell. The formation energy from raw total energies is -2433 meV/atom. The uncorrected energy is -8.0734 eV per atom.

***

5.
First-principles (GGA-PBE) data for an optimized crystal structure of TiNb2ZnO8, as listed in the Alexandria database.

Structure (extended XYZ):
```
12
Lattice="-5.6108 0.7237 -1.2749 -0.3846 -4.6456 -0.9446 -1.2136 -1.0125 4.7659" Properties=species:S:1:pos:R:3 pbc="T T T"
Nb -1.7633 0.2274 -0.4007
O -4.7440 -4.0098 2.4947
Nb -4.7245 -1.7382 -1.5022
Zn -4.5381 0.0008 1.4896
O -3.7061 -0.7645 -0.2304
O -0.9938 -1.3170 0.4606
O -5.9953 -1.3999 1.8385
O -3.0080 -1.5540 2.5315
Ti -1.7548 -2.7058 1.6935
O -2.7695 -3.5650 0.3401
O -1.9509 -4.1674 3.0547
O -5.7069 -2.9549 -0.3132
```

The space group is P2. Its volume is 138.4 Å³/cell. The formation energy from raw total energies is -2457 meV/atom. The uncorrected energy is -8.2051 eV per atom.

***

6.
First-principles (GGA-PBE) data for an optimized crystal structure of ZrTi2NbO, as listed in the Alexandria database.

Structure (extended XYZ):
```
5
Lattice="4.1495 0.0000 0.0000 0.0000 4.1495 0.0000 0.0000 0.0000 4.5877" Properties=species:S:1:pos:R:3 pbc="T T T"
Ti 0.0000 2.0747 0.0000
Nb 2.0747 2.0747 2.2938
Ti 2.0747 0.0000 0.0000
Zr 0.0000 0.0000 2.2938
O 0.0000 0.0000 0.0000
```

The space group is P4/mmm. The calculation puts the energy above the most stable polymorph in this dataset at 0.00 kcal/mol of atoms. Its volume is 79.0 Å³/cell. The formation energy from raw total energies is -1046 meV/atom. The uncorrected energy is -8.9196 eV per atom.

***

7.
First-principles (GGA-PBE) data for an optimized crystal structure of ZrTi2NbO, as listed in the Alexandria database.

Structure (extended XYZ):
```
5
Lattice="-1.2010 -0.6047 3.9627 -0.8975 -3.9911 -0.8810 4.2044 -1.1868 1.0931" Properties=species:S:1:pos:R:3 pbc="T T T"
O 0.0000 0.0000 0.0000
Ti -0.4488 -1.9956 -0.4405
Nb 2.1022 -0.5934 0.5466
Zr 1.0530 -2.8913 2.0874
Ti -0.6005 -0.3023 1.9813
```

The space group is P4/mmm. The calculation puts the energy above the most stable polymorph in this dataset at 2.18 kcal/mol of atoms. Its volume is 78.9 Å³/cell. The formation energy from raw total energies is -952 meV/atom. The uncorrected energy is -8.8250 eV per atom.

***

8.
First-principles (GGA-PBE) data for an optimized crystal structure of Zr2TiNbO, as listed in the Alexandria database.

Structure (extended XYZ):
```
5
Lattice="4.5223 0.0000 0.0000 0.0000 4.5223 0.0000 0.0000 0.0000 4.2453" Properties=species:S:1:pos:R:3 pbc="T T T"
Ti 2.2612 2.2612 2.1227
O 0.0000 0.0000 0.0000
Nb 0.0000 0.0000 2.1227
Zr 0.0000 2.2612 0.0000
Zr 2.2612 0.0000 0.0000
```

The space group is P4/mmm. The calculation puts the energy above the most stable polymorph in this dataset at 3.24 kcal/mol of atoms. Its volume is 86.8 Å³/cell. The formation energy from raw total energies is -910 meV/atom. The uncorrected energy is -8.9142 eV per atom.

***

9.
First-principles (GGA-PBE) data for an optimized crystal structure of Zr2TiNbO, as listed in the Alexandria database.

Structure (extended XYZ):
```
5
Lattice="-2.3883 3.9083 0.5503 -1.1603 -1.3101 4.2684 3.2670 1.7938 1.4386" Properties=species:S:1:pos:R:3 pbc="T T T"
Zr -1.1942 1.9542 0.2752
Nb -0.1408 2.1961 3.1287
O 0.0000 0.0000 0.0000
Zr -0.5801 -0.6550 2.1342
Ti 1.6335 0.8969 0.7193
```

The space group is P4/mmm. The calculation puts the energy above the most stable polymorph in this dataset at 0.00 kcal/mol of atoms. Its volume is 85.0 Å³/cell. The formation energy from raw total energies is -1051 meV/atom. The uncorrected energy is -9.0545 eV per atom.

***

10.
First-principles (GGA-PBE) data for an optimized crystal structure of NbTl2O4, as listed in the Alexandria database.

Structure (extended XYZ):
```
7
Lattice="4.0023 0.0000 0.0000 0.0000 4.0023 0.0000 2.0012 2.0012 7.0480" Properties=species:S:1:pos:R:3 pbc="T T T"
O 4.0023 4.0023 2.0413
Tl 4.0023 4.0023 4.7812
O 2.0012 0.0000 0.0000
Tl 2.0012 2.0012 2.2667
O 2.0012 2.0012 5.0067
Nb 0.0000 0.0000 0.0000
O 0.0000 2.0012 0.0000
```

The space group is I4/mmm. Its volume is 112.9 Å³/cell. The formation energy from raw total energies is -1501 meV/atom. The uncorrected energy is -6.4493 eV per atom.

***

11.
First-principles (GGA-PBE) data for an optimized crystal structure of NbTlO3, as listed in the Alexandria database.

Structure (extended XYZ):
```
10
Lattice="-8.9949 10.8379 -4.2515 -0.2324 4.2623 -3.7668 0.2157 -5.6863 0.1722" Properties=species:S:1:pos:R:3 pbc="T T T"
Tl -5.9162 10.9514 -6.3902
O -2.8218 6.1620 -4.5073
Nb -8.3580 13.7482 -7.4867
O -8.5876 8.3827 -5.3602
O -0.4240 1.0312 -2.4859
O -7.5323 5.5294 -4.2348
Nb -0.6536 -4.3342 -0.3594
Tl -3.0954 -1.5375 -1.4560
O -1.4793 3.8846 -3.6114
O -6.1898 3.2520 -3.3389
```

The space group is C2/m. Its volume is 176.0 Å³/cell. The formation energy from raw total energies is -2035 meV/atom. The uncorrected energy is -7.4975 eV per atom.

***

12.
First-principles (GGA-PBE) data for an optimized crystal structure of Nb2TlO, as listed in the Alexandria database.

Structure (extended XYZ):
```
8
Lattice="-1.3956 3.5182 3.6745 -4.0469 -3.0766 1.4087 0.7977 -2.5719 6.5520" Properties=species:S:1:pos:R:3 pbc="T T T"
Nb -2.7280 -1.5622 3.5666
Tl -1.6596 0.5836 6.3840
Nb -0.9550 0.6075 3.5218
Tl 0.0000 0.0000 0.0000
O -2.7213 0.2208 2.5416
Nb -2.0912 -2.2563 7.0459
Nb -3.5154 -1.0495 9.1360
O -2.9852 -2.7138 5.2511
```

The space group is I-42d. The calculation puts the energy above the most stable polymorph in this dataset at 0.00 kcal/mol of atoms. Its volume is 167.6 Å³/cell. The formation energy from raw total energies is -162 meV/atom. The uncorrected energy is -7.0279 eV per atom.

***

Look up the uncorrected energy of the fifth one. -8.2051 eV per atom